No. 1
This record from Alexandria via LeMat-Bulk describes a geometry-optimized YTeW2 structure. The functional is PBE-GGA.

Summary:
DFT total energy   -8.28 eV per atom
Magnetization   0.0 μB/cell
ΔE_f (raw)   0.600 eV/atom

Cell: 5.0866 5.0866 5.0866 Å, 127.70 127.70 77.10°
With the nearest neighbours (Å) after each atom.
Positions (direct):
Y: 0.0000 0.0000 0.0000  8 W 3.00-3.17, 4 Te 3.00
Te: 0.2500 0.7500 0.5000  8 W 3.00-3.17, 4 Y 3.00
W: 0.5000 0.5000 0.0000  4 W 3.00, 4 Te 3.00, 4 Y 3.17
W: 0.7500 0.2500 0.5000  4 W 3.00, 4 Y 3.00, 4 Te 3.17

No. 2
This record from Alexandria via LeMat-Bulk describes a geometry-optimized YTe2W structure. The functional is PBE-GGA.

Summary:
DFT total energy   -6.58 eV per atom
Magnetization   0.0 μB/cell
ΔE_f (raw)   -0.158 eV/atom

Cell: 3.7364 3.7364 7.2395 Å, 90.00 90.00 90.00°
With the nearest neighbours (Å) after each atom.
Positions (direct):
Y: 0.0000 0.0000 0.0000  5 Te 2.96-3.07, 4 W 3.21
Te: 0.0000 0.0000 0.5763  4 W 2.92, 1 Y 3.07
Te: 0.5000 0.5000 0.1854  4 Y 2.96, 1 W 3.16
W: 0.5000 0.5000 0.7485  5 Te 2.92-3.16, 4 Y 3.21

No. 3
This record from Alexandria via LeMat-Bulk describes a geometry-optimized Y4TeW structure. The functional is PBE-GGA.

Summary:
DFT total energy   -6.24 eV per atom
Magnetization   0.0 μB/cell
ΔE_f (raw)   0.753 eV/atom

Cell: 6.1136 6.1136 6.1136 Å, 60.00 60.00 60.00°
With the nearest neighbours (Å) after each atom.
Positions (direct):
Y: 0.3775 0.3775 0.3775  6 Y 3.00-3.12
Y: 0.3775 0.3775 0.8676  6 Y 3.00-3.12
Y: 0.3775 0.8676 0.3775  6 Y 3.00-3.12
Y: 0.8676 0.3775 0.3775  6 Y 3.00-3.12
Te: 0.0000 0.0000 0.0000  12 Y 3.59, 4 W 3.74
W: 0.7500 0.7500 0.7500  12 Y 3.58, 4 Te 3.74

Question: Which value of DFT total energy does entry 1 give?
Answer: -8.28 eV per atom